Record 1
Compound: TbSiNO
Source: OQMD
Functional: PBE
Structure: optimized geometry

Structure (POSCAR):
```
TbSiNO
1.0
3.2278 -3.2278 0.0000
3.2278 3.2278 0.0000
0.0000 0.0000 4.9332
Si Tb O N
2 2 2 2
Direct
0.2500 0.2500 0.0009
0.7500 0.7500 0.9991
0.2500 0.7500 0.5000
0.7500 0.2500 0.5000
0.7500 0.2500 0.0000
0.2500 0.7500 0.0000
0.2500 0.2500 0.6513
0.7500 0.7500 0.3487
```

Properties
For the total energy, the calculation gives -0.264 hartree per atom. Its energy above the most stable polymorph in this dataset is 0.328 eV per atom.

***

Record 2
Compound: TbSiNO
Source: OQMD
Functional: PBE
Structure: optimized geometry

Structure (POSCAR):
```
TbSiNO
1.0
-1.0766 -2.9816 0.6414
5.4228 -1.9802 -0.1029
0.4956 1.0584 5.7517
N Tb O Si
2 2 2 2
Direct
0.0000 0.8407 0.3164
0.0000 0.3407 0.6836
0.0000 0.9388 0.7147
0.0000 0.4388 0.2853
0.5000 0.0029 0.9683
0.5000 0.5029 0.0317
0.5000 0.9715 0.2527
0.5000 0.4715 0.7473
```

Properties
For the total energy, the calculation gives -0.274 hartree per atom. Its energy above the most stable polymorph in this dataset is 0.066 eV per atom.

***

Record 3
Compound: TbSiNO
Source: OQMD
Functional: PBE
Structure: optimized geometry

Structure (POSCAR):
```
TbSiNO
1.0
3.9265 0.0000 0.0000
0.0000 3.9265 0.0000
0.0000 0.0000 7.3379
N O Tb Si
2 2 2 2
Direct
0.0000 0.5000 0.4993
0.5000 0.0000 0.5007
0.5000 0.5000 0.0000
0.0000 0.0000 0.0000
0.5000 0.0000 0.1502
0.0000 0.5000 0.8498
0.5000 0.5000 0.5000
0.0000 0.0000 0.5000
```

Properties
For the total energy, the calculation gives -0.267 hartree per atom. Its energy above the most stable polymorph in this dataset is 0.251 eV per atom.

***

Record 4
Compound: TbSiNO
Source: OQMD
Functional: PBE
Structure: optimized geometry

Structure (POSCAR):
```
TbSiNO
1.0
-0.0505 3.6466 0.8793
-3.9997 0.5893 -2.6733
-2.9759 -1.0586 4.2190
N Si Tb O
2 2 2 2
Direct
0.0000 0.5008 0.2485
0.0000 0.4992 0.7485
0.0000 0.2497 0.9992
0.0000 0.7503 0.4992
0.5000 0.2610 0.4991
0.5000 0.7390 0.9991
0.5000 0.7809 0.4992
0.5000 0.2191 0.9992
```

Properties
For the total energy, the calculation gives -0.276 hartree per atom. Its energy above the most stable polymorph in this dataset is 0.000 eV per atom.

***

What did the first record say?
Compound: TbSiNO
Source: OQMD
Functional: PBE
Structure: optimized geometry

Structure (POSCAR):
```
TbSiNO
1.0
3.2278 -3.2278 0.0000
3.2278 3.2278 0.0000
0.0000 0.0000 4.9332
Si Tb O N
2 2 2 2
Direct
0.2500 0.2500 0.0009
0.7500 0.7500 0.9991
0.2500 0.7500 0.5000
0.7500 0.2500 0.5000
0.7500 0.2500 0.0000
0.2500 0.7500 0.0000
0.2500 0.2500 0.6513
0.7500 0.7500 0.3487
```

Properties
For the total energy, the calculation gives -0.264 hartree per atom. Its energy above the most stable polymorph in this dataset is 0.328 eV per atom.